(1)
# Sr2SbMo

An optimized crystal structure of Sr2SbMo (GGA-PBE, OQMD).

```
Sr2SbMo
1.0
0.000 3.782 3.782
3.782 0.000 3.782
3.782 3.782 0.000
Mo Sb Sr
1 1 2
direct
0.500 0.500 0.500
0.750 0.750 0.750
0.000 0.000 0.000
0.250 0.250 0.250
```

Computed properties:
Space group: F-43m (216)
Total DFT energy (no corrections), eV/atom: -4.183

=====

(2)
# TmGe2

An optimized crystal structure of TmGe2 (GGA-PBE, OQMD).

```
TmGe2
1.0
1.353 -1.071 5.327
-2.982 2.276 4.158
-3.334 -3.220 3.143
Ge Tm
4 2
direct
0.625 0.625 0.125
0.625 0.125 0.625
0.125 0.625 0.625
0.625 0.625 0.625
0.000 0.000 0.000
0.250 0.250 0.250
```

Computed properties:
Space group: Fd-3m (227)
Total DFT energy (no corrections), eV/atom: -4.835

=====

(3)
# AcAuO3

An optimized crystal structure of AcAuO3 (GGA-PBE, OQMD).

```
AcAuO3
1.0
-4.941 3.524 0.283
-3.698 -5.119 -0.810
-0.309 -1.109 8.416
Ac Au O
4 4 12
direct
0.500 0.000 0.000
0.000 0.500 0.000
0.500 0.000 0.500
0.000 0.500 0.500
0.979 0.046 0.250
0.521 0.546 0.250
0.479 0.454 0.750
0.021 0.954 0.750
0.635 0.343 0.088
0.865 0.843 0.088
0.123 0.330 0.250
0.377 0.830 0.250
0.635 0.343 0.412
0.865 0.843 0.412
0.135 0.157 0.588
0.365 0.657 0.588
0.623 0.170 0.750
0.877 0.670 0.750
0.135 0.157 0.912
0.365 0.657 0.912
```

Computed properties:
Space group: Pnma (62)
Total DFT energy (no corrections), eV/atom: -5.884

=====

(4)
# DyPuPt

An optimized crystal structure of DyPuPt (GGA-PBE, OQMD).

```
DyPuPt
1.0
0.000 3.458 3.458
3.458 0.000 3.458
3.458 3.458 0.000
Dy Pt Pu
1 1 1
direct
0.250 0.250 0.250
0.000 0.000 0.000
0.750 0.750 0.750
```

Computed properties:
Energy above the most stable polymorph in this dataset, kcal/mol of atoms: 0.000
Space group: F-43m (216)
Formation energy from the elements, meV per atom: -659

=====

(5)
# SmCuHgS3

An optimized crystal structure of SmCuHgS3 (GGA-PBE, OQMD).

```
SmCuHgS3
1.0
1.943 -6.174 0.000
1.943 6.174 0.000
0.000 0.000 10.644
Cu Hg S Sm
2 2 6 2
direct
0.026 0.974 0.250
0.974 0.026 0.750
0.745 0.255 0.250
0.255 0.745 0.750
0.143 0.857 0.082
0.409 0.591 0.250
0.143 0.857 0.418
0.857 0.143 0.582
0.591 0.409 0.750
0.857 0.143 0.918
0.500 0.500 0.000
0.500 0.500 0.500
```

Computed properties:
Space group: Cmcm (63)
Total DFT energy (no corrections), eV/atom: -4.318

=====

(6)
# YCoNiBi

An optimized crystal structure of YCoNiBi (GGA-PBE, OQMD).

```
YCoNiBi
1.0
0.000 3.289 3.289
3.289 0.000 3.289
3.289 3.289 0.000
Bi Co Ni Y
1 1 1 1
direct
0.000 0.000 0.000
0.750 0.750 0.750
0.250 0.250 0.250
0.500 0.500 0.500
```

Computed properties:
Energy above the most stable polymorph in this dataset, kcal/mol of atoms: 0.000
Space group: F-43m (216)

=====

Quick rundown of calculated volume, same order as above: 108.22, 124.17, 328.58, 82.71, 255.44, 71.15 Å³ per cell